Compound: BaPtIN2
Source: the Alexandria database
Functional: SCAN
Structure: single point on PBEsol structure

```
5
Lattice="4.3881 0.0000 0.0000 0.0000 4.3881 0.0000 0.0000 0.0000 5.3020" Properties=species:S:1:pos:R:3 pbc="T T T"
N 2.1941 0.0000 0.0000
N 0.0000 2.1941 0.0000
I 0.0000 0.0000 2.6510
Ba 2.1941 2.1941 2.6510
Pt 0.0000 0.0000 0.0000
```

Calculated values
- ρ: 7.93 g/cm³
- E_form (uncorrected): 0.629 eV/atom
- Magnetization: 2.6 μB per cell
- SG: P4/mmm, No. 123
- Raw total energy: -161.9 eV per cell
- N(E_F): 2.38 states/eV/cell